DFT (PBE with a Hubbard U) results for a relaxed CaGaMoO4 crystal.

Cell: 6.231 6.453 8.946 Å, 90.00 90.00 90.00°
Space group Imma (No. 74)
Unique sites:
Ca  0.250  0.250  0.250 (multiplicity 4)
Ga  0.000  0.250  0.640 (multiplicity 4)
Mo  0.000  0.000  0.000 (multiplicity 4)
O  0.000  0.010  0.758 (multiplicity 8)
O  0.243  0.250  0.988 (multiplicity 8)

Electronic total energy ... -185.8 eV for the cell shown